Record 1
A plane-wave DFT calculation with SCAN was carried out for a PBEsol-optimized structure of SiBrCl2.

Lattice parameters (Å, degrees): 3.7282 3.7282 21.8757 90.00 90.00 120.00
Space group R3m (No. 160, hexagonal axes)
Asymmetric unit:
Si (0.0000, 0.0000, 0.0000) (multiplicity 3)
Br (0.0000, 0.0000, 0.2638) (multiplicity 3)
Cl (0.0000, 0.0000, 0.4981) (multiplicity 3)
Cl (0.0000, 0.0000, 0.7284) (multiplicity 3)

Calculated values
Total magnetic moment: 0.000 μB per atom
Energy relative to the elements, uncorrected: -0.002 eV/atom

=====

Record 2
A plane-wave DFT calculation with SCAN was carried out for a PBEsol-optimized structure of MgZn2As2O8.

Lattice parameters (Å, degrees): 5.316 8.423 8.905 90.00 119.58 90.00
Space group P2_1/c (No. 14)
Asymmetric unit:
Mg (0.000, 0.000, 0.000) (multiplicity 2)
Zn (0.013, 0.140, 0.611) (multiplicity 4)
As (0.355, 0.694, 0.305) (multiplicity 4)
O (0.174, 0.626, 0.742) (multiplicity 4)
O (0.215, 0.564, 0.135) (multiplicity 4)
O (0.276, 0.638, 0.461) (multiplicity 4)
O (0.281, 0.197, 0.116) (multiplicity 4)

Calculated values
Total magnetic moment: 0.000 μB per atom
Energy relative to the elements, uncorrected: -1.760 eV/atom

=====

Record 3
A plane-wave DFT calculation with SCAN was carried out for a PBEsol-optimized structure of AlCrIn.

Lattice parameters (Å, degrees): 2.9378 2.9378 6.7523 90.00 90.00 120.00
Space group P3m1 (No. 156)
Asymmetric unit:
Al (0.0000, 0.0000, 0.0000) (multiplicity 1)
Cr (0.3333, 0.6667, 0.7138) (multiplicity 1)
In (0.6667, 0.3333, 0.3817) (multiplicity 1)

Calculated values
Formation enthalpy at 0 K: 0.248 eV/atom
Total magnetic moment: 0.911 μB per atom

=====

Record 4
A plane-wave DFT calculation with SCAN was carried out for a PBEsol-optimized structure of SrRe3Br.

Lattice parameters (Å, degrees): 4.651 4.651 4.651 90.00 90.00 90.00
Space group Pm-3m (No. 221)
Asymmetric unit:
Sr (0.000, 0.000, 0.000) (multiplicity 1)
Re (0.000, 0.500, 0.500) (multiplicity 3)
Br (0.500, 0.500, 0.500) (multiplicity 1)

Calculated values
Total magnetic moment: 0.446 μB per atom
Energy relative to the elements, uncorrected: 2.124 eV/atom

=====

Record 5
A plane-wave DFT calculation with SCAN was carried out for a PBEsol-optimized structure of BeTc2Hg.

Lattice parameters (Å, degrees): 3.064 4.381 8.203 90.00 90.00 90.00
Space group Imm2 (No. 44)
Asymmetric unit:
Be (0.000, 0.000, 0.000) (multiplicity 2)
Tc (0.000, 0.000, 0.511) (multiplicity 2)
Tc (0.000, 0.500, 0.277) (multiplicity 2)
Hg (0.000, 0.500, 0.728) (multiplicity 2)

Calculated values
Formation enthalpy at 0 K: 0.355 eV/atom
Total magnetic moment: 0.000 μB per atom

=====

Record 6
A plane-wave DFT calculation with SCAN was carried out for a PBEsol-optimized structure of LaMnRe.

Lattice parameters (Å, degrees): 2.978 3.645 10.686 90.00 90.00 90.00
Space group Imm2 (No. 44)
Asymmetric unit:
La (0.000, 0.000, 0.000) (multiplicity 2)
Mn (0.000, 0.000, 0.730) (multiplicity 2)
Re (0.000, 0.000, 0.273) (multiplicity 2)

Calculated values
Formation enthalpy at 0 K: 0.398 eV/atom
Total magnetic moment: 0.235 μB per atom

=====

Record 7
A plane-wave DFT calculation with SCAN was carried out for a PBEsol-optimized structure of Li3TiNi2O6.

Lattice parameters (Å, degrees): 5.760 5.775 6.533 102.77 102.93 90.08
Space group P-1 (No. 2)
Asymmetric unit:
Li (0.000, 0.000, 0.000) (multiplicity 1)
Li (0.000, 0.500, 0.000) (multiplicity 1)
Li (0.326, 0.337, 0.348) (multiplicity 2)
Li (0.326, 0.837, 0.352) (multiplicity 2)
Ti (0.500, 0.000, 0.000) (multiplicity 1)
Ti (0.500, 0.500, 0.000) (multiplicity 1)
Ni (0.163, 0.167, 0.666) (multiplicity 2)
Ni (0.166, 0.666, 0.667) (multiplicity 2)
O (0.059, 0.097, 0.341) (multiplicity 2)
O (0.060, 0.573, 0.336) (multiplicity 2)
O (0.269, 0.250, 0.005) (multiplicity 2)
O (0.273, 0.754, 0.017) (multiplicity 2)
O (0.407, 0.430, 0.683) (multiplicity 2)
O (0.408, 0.911, 0.680) (multiplicity 2)

Calculated values
Total magnetic moment: 0.250 μB per atom
Energy relative to the elements, uncorrected: -2.172 eV/atom

=====

Record 8
A plane-wave DFT calculation with SCAN was carried out for a PBEsol-optimized structure of K2SrBe.

Lattice parameters (Å, degrees): 6.777 13.680 4.751 90.00 131.59 90.00
Space group C2/m (No. 12)
Asymmetric unit:
K (0.250, 0.250, 0.000) (multiplicity 4)
Sr (0.000, 0.000, 0.500) (multiplicity 2)
Be (0.000, 0.500, 0.500) (multiplicity 2)

Calculated values
Formation enthalpy at 0 K: 0.678 eV/atom
Total magnetic moment: 0.004 μB per atom

=====

Record 9
A plane-wave DFT calculation with SCAN was carried out for a PBEsol-optimized structure of CdCu2Pt.

Lattice parameters (Å, degrees): 3.819 3.819 7.788 90.00 90.00 90.00
Space group I-4m2 (No. 119)
Asymmetric unit:
Cd (0.000, 0.000, 0.000) (multiplicity 2)
Cu (0.000, 0.000, 0.500) (multiplicity 2)
Cu (0.000, 0.500, 0.250) (multiplicity 2)
Pt (0.000, 0.500, 0.750) (multiplicity 2)

Calculated values
Formation enthalpy at 0 K: -0.140 eV/atom
Total magnetic moment: 0.000 μB per atom

=====

Record 10
A plane-wave DFT calculation with SCAN was carried out for a PBEsol-optimized structure of TlPRuCl2.

Lattice parameters (Å, degrees): 5.139 5.139 5.140 90.00 90.00 90.00
Space group P4/mmm (No. 123)
Asymmetric unit:
Tl (0.000, 0.000, 0.000) (multiplicity 1)
P (0.000, 0.000, 0.500) (multiplicity 1)
Ru (0.500, 0.500, 0.500) (multiplicity 1)
Cl (0.000, 0.500, 0.000) (multiplicity 2)

Calculated values
Total magnetic moment: 0.878 μB per atom
Energy relative to the elements, uncorrected: 1.002 eV/atom

=====

Record 11
A plane-wave DFT calculation with SCAN was carried out for a PBEsol-optimized structure of CaAgOs3.

Lattice parameters (Å, degrees): 4.578 4.578 4.578 90.00 90.00 90.00
Space group Pm-3m (No. 221)
Asymmetric unit:
Ca (0.000, 0.000, 0.000) (multiplicity 1)
Ag (0.500, 0.500, 0.500) (multiplicity 1)
Os (0.000, 0.000, 0.500) (multiplicity 3)

Calculated values
Formation enthalpy at 0 K: 3.375 eV/atom
Total magnetic moment: 0.418 μB per atom

=====

Record 12
A plane-wave DFT calculation with SCAN was carried out for a PBEsol-optimized structure of CaCe2S4.

Lattice parameters (Å, degrees): 8.368 8.368 8.449 90.00 90.00 90.00
Space group I-42d (No. 122)
Asymmetric unit:
Ca (0.000, 0.000, 0.000) (multiplicity 4)
Ce (0.127, 0.250, 0.625) (multiplicity 8)
S (0.076, 0.176, 0.302) (multiplicity 16)

Calculated values
Total magnetic moment: 0.286 μB per atom
Energy relative to the elements, uncorrected: -2.328 eV/atom

=====

Record 13
A plane-wave DFT calculation with SCAN was carried out for a PBEsol-optimized structure of BaYPb2.

Lattice parameters (Å, degrees): 3.661 4.483 7.648 90.00 90.00 90.00
Space group Pmmm (No. 47)
Asymmetric unit:
Ba (0.000, 0.000, 0.000) (multiplicity 1)
Y (0.000, 0.000, 0.500) (multiplicity 1)
Pb (0.500, 0.500, 0.290) (multiplicity 2)

Calculated values
Formation enthalpy at 0 K: -0.749 eV/atom
Total magnetic moment: 0.000 μB per atom